CdHg2 | GGA-PBEsol | relaxed

Structure (POSCAR):
```
CdHg2
1.0
3.339 0.000 0.000
0.000 4.354 0.000
0.000 0.000 9.105
Cd Hg
2 4
direct
0.000 0.000 0.000 Cd
0.500 0.500 0.500 Cd
0.000 0.000 0.334 Hg
0.000 0.000 0.666 Hg
0.500 0.500 0.166 Hg
0.500 0.500 0.834 Hg
```

Calculated values
The energy relative to the lowest polymorph listed for this composition comes out at 0.009 eV/atom. Its space group is Immm. The value obtained for the formation energy is 0 kJ/mol of formula units. The value obtained for the uncorrected energy is -0.78 eV/atom.